## GaRu2PtBr (PBE)

Data for crystalline GaRu2PtBr at its relaxed geometry.

Structure (POSCAR):
```
GaRu2PtBr
1.0
4.514 0.000 0.000
0.000 4.974 0.000
0.000 0.000 4.514
Ga Pt Br Ru
1 1 1 2
Cartesian
0.000 2.487 0.000 Ga
2.257 2.487 2.257 Pt
0.000 0.000 0.000 Br
0.000 0.000 2.257 Ru
2.257 0.000 0.000 Ru
```

Summary:
- space group = P4/mmm (123)
- formation energy without anion corrections (eV per formula unit) = 7.52
- magnetic moment (μB/atom) = 0.409

## GaPtSeBr2 (PBE)

Data for crystalline GaPtSeBr2 at its relaxed geometry.

Structure (POSCAR):
```
GaPtSeBr2
1.0
-4.321 -1.589 1.730
1.820 -4.555 0.362
1.603 1.035 4.956
Br Ga Se Pt
2 1 1 1
Cartesian
0.910 -2.278 0.181 Br
-2.161 -0.795 0.865 Br
0.000 0.000 0.000 Ga
0.802 0.517 2.478 Se
-0.449 -2.555 3.524 Pt
```

Summary:
- space group = P4/mmm (123)
- formation energy without anion corrections (eV per formula unit) = 3.00
- magnetic moment (μB/atom) = 0.173

## GaPtSeBr2 (PBE)

Data for crystalline GaPtSeBr2 at its relaxed geometry.

Structure (POSCAR):
```
GaPtSeBr2
1.0
5.356 0.000 0.000
0.000 5.356 0.000
0.000 0.000 4.830
Se Ga Br Pt
1 1 2 1
Cartesian
0.000 0.000 2.415 Se
2.678 2.678 2.415 Ga
2.678 0.000 0.000 Br
0.000 2.678 0.000 Br
0.000 0.000 0.000 Pt
```

Summary:
- space group = P4/mmm (123)
- formation energy without anion corrections (eV per formula unit) = -0.09
- magnetic moment (μB/atom) = 0.000

## Ga2SnPtBr (PBE)

Data for crystalline Ga2SnPtBr at its relaxed geometry.

Structure (POSCAR):
```
Ga2SnPtBr
1.0
4.888 0.000 0.000
0.000 4.888 0.000
0.000 0.000 5.390
Ga Sn Br Pt
2 1 1 1
Cartesian
2.444 0.000 0.000 Ga
0.000 2.444 0.000 Ga
0.000 0.000 2.695 Sn
2.444 2.444 2.695 Br
0.000 0.000 0.000 Pt
```

Summary:
- space group = P4/mmm (123)
- formation energy without anion corrections (eV per formula unit) = -2.02
- magnetic moment (μB/atom) = 0.000

## SrGa2PtBr (PBE)

Data for crystalline SrGa2PtBr at its relaxed geometry.

Structure (POSCAR):
```
SrGa2PtBr
1.0
-0.806 4.699 0.185
-2.046 -0.520 4.278
5.637 0.856 2.800
Ga Br Pt Sr
2 1 1 1
Cartesian
-0.403 2.349 0.093 Ga
-1.023 -0.260 2.139 Ga
1.393 2.518 3.632 Br
0.000 0.000 0.000 Pt
2.819 0.428 1.400 Sr
```

Summary:
- space group = P4/mmm (123)
- formation energy without anion corrections (eV per formula unit) = -4.48
- magnetic moment (μB/atom) = 0.000

## TlGa2PtBr (PBE)

Data for crystalline TlGa2PtBr at its relaxed geometry.

Structure (POSCAR):
```
TlGa2PtBr
1.0
4.878 0.000 0.000
0.000 4.878 0.000
0.000 0.000 5.484
Tl Br Ga Pt
1 1 2 1
Cartesian
0.000 0.000 2.742 Tl
2.439 2.439 2.742 Br
2.439 0.000 0.000 Ga
0.000 2.439 0.000 Ga
0.000 0.000 0.000 Pt
```

Summary:
- space group = P4/mmm (123)
- formation energy without anion corrections (eV per formula unit) = -2.49
- magnetic moment (μB/atom) = 0.000

## TlGaPtBr2 (PBE)

Data for crystalline TlGaPtBr2 at its relaxed geometry.

Structure (POSCAR):
```
TlGaPtBr2
1.0
-0.339 4.310 -3.460
-3.774 1.665 2.444
3.399 2.896 3.275
Ga Br Tl Pt
1 2 1 1
Cartesian
-1.887 0.833 1.222 Ga
1.700 1.448 1.637 Br
-0.169 2.155 -1.730 Br
-0.357 4.436 1.130 Tl
0.000 0.000 0.000 Pt
```

Summary:
- space group = P4/mmm (123)
- formation energy without anion corrections (eV per formula unit) = -1.36
- magnetic moment (μB/atom) = 0.000

## Tl2GaPtBr (PBE)

Data for crystalline Tl2GaPtBr at its relaxed geometry.

Structure (POSCAR):
```
Tl2GaPtBr
1.0
-4.295 -3.304 0.337
0.691 -1.429 -5.192
2.910 -3.641 1.390
Tl Pt Br Ga
2 1 1 1
Cartesian
0.346 -0.714 -2.596 Tl
-2.147 -1.652 0.169 Tl
0.000 0.000 0.000 Pt
-0.347 -4.187 -1.732 Br
1.455 -1.820 0.695 Ga
```

Summary:
- space group = P4/mmm (123)
- formation energy without anion corrections (eV per formula unit) = -2.24
- magnetic moment (μB/atom) = 0.000

## ZnGaPtBr2 (PBE)

Data for crystalline ZnGaPtBr2 at its relaxed geometry.

Structure (POSCAR):
```
ZnGaPtBr2
1.0
5.315 0.000 0.000
0.000 4.905 0.000
0.000 0.000 5.315
Br Pt Zn Ga
2 1 1 1
Cartesian
0.000 0.000 2.658 Br
2.658 0.000 0.000 Br
0.000 0.000 0.000 Pt
2.658 2.453 2.658 Zn
0.000 2.453 0.000 Ga
```

Summary:
- space group = P4/mmm (123)
- formation energy without anion corrections (eV per formula unit) = 0.10
- magnetic moment (μB/atom) = 0.000

## PuGaBr2 (PBE)

Data for crystalline PuGaBr2 at its relaxed geometry.

Structure (POSCAR):
```
PuGaBr2
1.0
4.002 0.000 0.000
2.001 3.466 0.000
2.001 1.155 9.824
Pu Ga Br
1 1 2
Cartesian
0.000 0.000 0.000 Pu
4.002 2.311 4.912 Ga
2.001 1.155 6.955 Br
6.004 3.466 2.869 Br
```

Summary:
- space group = R-3m (166)
- formation energy without anion corrections (eV per formula unit) = -1.85
- magnetic moment (μB/atom) = 1.617

## PuGa2Br8 (PBE)

Data for crystalline PuGa2Br8 at its relaxed geometry.

Structure (POSCAR):
```
PuGa2Br8
1.0
9.722 0.000 4.291
3.728 9.203 4.713
0.966 1.528 10.969
Br Pu Ga
16 2 4
Cartesian
3.191 6.179 3.511 Br
9.259 7.108 6.518 Br
10.819 8.389 12.545 Br
7.408 7.460 10.711 Br
11.225 4.552 16.462 Br
9.712 1.533 11.629 Br
5.688 5.371 6.115 Br
3.681 5.575 9.213 Br
5.157 3.622 13.455 Br
10.734 5.156 10.760 Br
8.728 5.360 13.858 Br
7.809 0.209 4.229 Br
4.704 9.197 8.344 Br
3.597 2.342 7.428 Br
7.007 3.271 9.262 Br
6.607 10.522 15.743 Br
3.347 7.284 6.414 Pu
11.069 3.447 13.559 Pu
5.202 4.013 8.046 Ga
12.340 9.379 18.002 Ga
9.214 6.718 11.927 Ga
2.075 1.352 1.971 Ga
```

Summary:
- space group = C2/c (15)
- formation energy without anion corrections (eV per formula unit) = -11.01
- magnetic moment (μB/atom) = 0.546

## PuGa2Br8 (PBE)

Data for crystalline PuGa2Br8 at its relaxed geometry.

Structure (POSCAR):
```
PuGa2Br8
1.0
-5.032 -1.857 -4.260
-1.462 -7.567 3.175
-6.361 0.754 5.334
Br Pu Ga
8 1 2
Cartesian
-7.466 -1.994 4.839 Br
-4.420 -7.167 3.496 Br
-4.987 -2.582 -1.365 Br
-8.435 -1.504 0.752 Br
-3.890 -2.899 2.348 Br
-8.965 -5.771 1.900 Br
-5.389 -6.677 -0.590 Br
-7.868 -6.089 5.614 Br
0.000 0.000 0.000 Pu
-3.286 -2.010 0.289 Ga
-9.569 -6.661 3.960 Ga
```

Summary:
- space group = C2/m (12)
- formation energy without anion corrections (eV per formula unit) = -10.82
- magnetic moment (μB/atom) = 0.541

## PuGa2Br6 (PBE)

Data for crystalline PuGa2Br6 at its relaxed geometry.

Structure (POSCAR):
```
PuGa2Br6
1.0
-5.780 -0.644 3.818
-3.515 -8.385 -4.385
4.223 -4.512 7.981
Br Ga Pu
12 4 2
Cartesian
0.328 -11.202 4.380 Br
0.654 -7.219 7.356 Br
-0.452 -5.589 0.281 Br
-5.727 -6.322 0.058 Br
-1.605 -1.564 2.572 Br
-4.621 -7.952 7.133 Br
-3.467 -11.977 4.843 Br
-5.401 -2.338 3.034 Br
-3.202 -8.366 2.872 Br
1.788 -3.685 5.540 Br
-6.860 -9.856 1.874 Br
-1.870 -5.175 4.542 Br
-5.533 -8.870 4.358 Ga
-1.063 -7.757 4.975 Ga
-4.010 -5.784 2.439 Ga
0.461 -4.671 3.056 Ga
2.142 -4.991 7.920 Pu
-7.215 -8.550 -0.506 Pu
```

Summary:
- space group = C2/c (15)
- formation energy without anion corrections (eV per formula unit) = -8.38
- magnetic moment (μB/atom) = 0.451